The following is a DFT calculation (PBE) of an optimized crystal structure of CsAs2I6.

abc: 11.8957 10.5982 10.5982
angles: 85.81 64.20 64.20
Last column: nearest neighbours and their distance in Å.
Fractional coordinates of all 18 atoms:
I: 0.9630 0.4118 0.3593  3 As 3.01-3.05
I: 0.7979 0.8668 0.4594  1 As 2.61
I: 0.4630 0.3593 0.4118  3 As 3.01-3.05
I: 0.1027 0.8698 0.8104  1 As 2.76
I: 0.7021 0.5406 0.1332  1 As 2.61
I: 0.2021 0.1332 0.5406  1 As 2.61
I: 0.5370 0.6407 0.5882  3 As 3.01-3.05
As: 0.2777 0.6011 0.6589  2 I 2.61-2.76
I: 0.8973 0.1302 0.1896  1 As 2.76
As: 0.7777 0.6589 0.6011  2 I 2.61-2.76
Cs: 0.7500 0.8898 0.1102  6 I 3.93-3.97
As: 0.2223 0.3411 0.3989  2 I 2.61-2.76
I: 0.2979 0.4594 0.8668  1 As 2.61
I: 0.0370 0.5882 0.6407  3 As 3.01-3.05
As: 0.7223 0.3989 0.3411  2 I 2.61-2.76
Cs: 0.2500 0.1102 0.8898  6 I 3.93-3.97
I: 0.6027 0.8104 0.8698  1 As 2.76
I: 0.3973 0.1896 0.1302  1 As 2.76

Computed properties:
Fermi-level density of states in states/eV per atom: 0.11
Space-group type: No. 15

***

The following is a DFT calculation (PBE) of an optimized crystal structure of CsAsI3.

abc: 6.8456 8.2946 8.8834
angles: 90.00 91.23 90.00
Last column: nearest neighbours and their distance in Å.
Fractional coordinates of all 10 atoms:
I: 0.7423 0.7500 0.0754  1 As 2.91
I: 0.2560 0.0116 0.3769  1 As 2.67
I: 0.7440 0.9884 0.6231  1 As 2.67
As: 0.5297 0.2500 0.6774  3 I 2.67-2.91
I: 0.7440 0.5116 0.6231  1 As 2.67
I: 0.2560 0.4884 0.3769  1 As 2.67
Cs: 0.2573 0.7500 0.8192  8 I 3.98-4.36
Cs: 0.7427 0.2500 0.1808  8 I 3.98-4.36
I: 0.2577 0.2500 0.9246  1 As 2.91
As: 0.4703 0.7500 0.3226  3 I 2.67-2.91

Computed properties:
Fermi-level density of states in states/eV per atom: 0.00
Space-group type: No. 11
Relative energy among the computed polymorphs in meV per atom: 171

***

The following is a DFT calculation (PBE) of an optimized crystal structure of Cs3AsI6.

abc: 9.1773 9.1773 9.1773
angles: 60.00 60.00 60.00
Last column: nearest neighbours and their distance in Å.
Fractional coordinates of all 10 atoms:
I: 0.2220 0.2220 0.7780  1 As 2.88
I: 0.2220 0.7780 0.7780  1 As 2.88
I: 0.2220 0.7780 0.2220  1 As 2.88
Cs: 0.7500 0.7500 0.7500  12 I 4.60
As: 0.0000 0.0000 0.0000  6 I 2.88
I: 0.7780 0.2220 0.2220  1 As 2.88
I: 0.7780 0.2220 0.7780  1 As 2.88
I: 0.7780 0.7780 0.2220  1 As 2.88
Cs: 0.5000 0.5000 0.5000  6 I 3.61
Cs: 0.2500 0.2500 0.2500  12 I 4.60

Computed properties:
Fermi-level density of states in states/eV per atom: 0.00
Space-group type: No. 225
Relative energy among the computed polymorphs in meV per atom: 35

***

The following is a DFT calculation (PBE) of an optimized crystal structure of CsAsI3.

abc: 6.0754 6.0754 15.5952
angles: 78.77 78.77 90.00
Last column: nearest neighbours and their distance in Å.
Fractional coordinates of all 10 atoms:
I: 0.1337 0.8862 0.2276  2 I 3.01-3.07
I: 0.6742 0.6742 0.6516  2 As 3.21
I: 0.1138 0.3613 0.7724  2 I 3.01-3.07
I: 0.3258 0.3258 0.3484  2 As 3.21
As: 0.8602 0.3602 0.2796  6 I 3.21-3.48
Cs: 0.2500 0.7500 0.5000  4 I 3.79
I: 0.6387 0.8862 0.2276  2 I 3.01-3.07
Cs: 0.0000 0.0000 0.0000  4 I 3.73
I: 0.1138 0.8663 0.7724  2 I 3.01-3.07
As: 0.6398 0.1398 0.7204  6 I 3.21-3.48

Computed properties:
Fermi-level density of states in states/eV per atom: 0.36
Space-group type: No. 119
Relative energy among the computed polymorphs in meV per atom: 603

***

The following is a DFT calculation (PBE) of an optimized crystal structure of CsAsI3.

abc: 32.5083 10.2108 10.2108
angles: 155.62 157.20 22.80
Last column: nearest neighbours and their distance in Å.
Fractional coordinates of all 10 atoms:
I: 0.7136 0.4419 0.5581  1 As 3.31
I: 0.9869 0.4110 0.5890  2 As 2.85
Cs: 0.4132 0.9989 0.0011  5 I 3.72-4.11
I: 0.2864 0.5581 0.4419  1 As 3.31
I: 0.6868 0.1811 0.8189  2 As 3.02
I: 0.0131 0.5890 0.4110  2 As 2.85
I: 0.3132 0.8189 0.1811  2 As 3.02
Cs: 0.5868 0.0011 0.9989  5 I 3.72-4.11
As: 0.8572 0.3675 0.6325  4 I 2.85-3.02
As: 0.1428 0.6325 0.3675  4 I 2.85-3.02

Computed properties:
Fermi-level density of states in states/eV per atom: 0.10
Space-group type: No. 12
Relative energy among the computed polymorphs in meV per atom: 250

***

The following is a DFT calculation (PBE) of an optimized crystal structure of CsAsI3.

abc: 8.9571 6.8855 9.5361
angles: 108.64 106.58 78.56
Last column: nearest neighbours and their distance in Å.
Fractional coordinates of all 10 atoms:
As: 0.8681 0.8969 0.5916  1 As 2.56, 2 I 2.63-2.69
I: 0.9500 0.5654 0.6883  1 As 2.63
I: 0.2797 0.5383 0.1907  1 As 3.53, 1 I 3.58, 2 Cs 3.73-3.86
Cs: 0.4521 0.5321 0.8763  5 I 3.73-4.02
I: 0.4100 0.9498 0.6701  1 As 2.83
I: 0.8533 0.1704 0.8632  1 As 2.69
I: 0.8107 0.6337 0.2478  2 As 2.96-3.15
Cs: 0.0674 0.0927 0.2848  6 I 3.86-4.31
I: 0.5105 0.1441 0.3571  1 As 2.64
As: 0.5905 0.8058 0.4491  1 As 2.56, 2 I 2.64-2.83

Computed properties:
Fermi-level density of states in states/eV per atom: 0.00
Space-group type: No. 1
Relative energy among the computed polymorphs in meV per atom: 27

***

One value per record, in order, for calculated volume: 59.55; 50.43; 54.66; 55.34; 46.52; 53.04 Å³/atom.
One value per record, in order, for energy relative to the elements, uncorrected: -416; -541; -957; -109; -462; -685 meV/atom.
One value per record, in order, for total magnetization: 0.000; 0.000; 0.000; 0.000; 1.000; 0.000 μB/f.u..